The following is a DFT calculation (PBE) of a relaxed structure of KC2F2.

Results
raw formation energy: 0.4427 eV per atom
theoretical density: 3.3 g/cm³
energy above the lowest structure with this stoichiometry: 33.9 kJ/mol of formula units
spin magnetization: 0.0 Bohr magnetons per cell

a b c (Å): 2.6284 2.6284 14.8906
angles (deg): 90.00 90.00 90.00
Closest atoms and distances in Å follow each position.
Space group I4/mmm (No. 139)
One atom of each set of equivalent atoms:
K1 0.0000 0.0000 0.0000  8 F 2.54, 4 K 2.63
C1 0.0000 0.5000 0.2500  4 C 1.86
F1 0.0000 0.0000 0.3839  4 C 2.39, 4 K 2.54, 4 F 2.63